Computed, not measured: crystalline TaNbCo2Pb2 at its relaxed geometry at the PBE level of DFT.

Properties
E: -172.44 eV/cell

a = 8.5505 Å, b = 4.2757 Å, c = 12.8267 Å
α = 90.00°, β = 109.46°, γ = 90.00°
Closest atoms and distances in Å follow each position.
Positions (direct):
Ta1 0.0000 0.0000 0.0000  4 Co 2.61-2.62
Ta2 0.1249 0.5000 0.7499  4 Co 2.61-2.62
Ta3 0.2501 0.0000 0.4999  4 Co 2.61-2.62
Ta4 0.5003 0.0000 0.0001  4 Co 2.61-2.62
Nb1 0.3752 0.5000 0.2501  4 Co 2.62
Nb2 0.6252 0.5000 0.7500  4 Co 2.62-2.63
Nb3 0.7501 0.0000 0.5000  4 Co 2.62
Nb4 0.8751 0.5000 0.2501  4 Co 2.62
Co1 0.0622 0.5000 0.1243  4 Pb 2.61-2.62, 2 Ta 2.61, 2 Nb 2.62
Co2 0.1876 0.0000 0.8750  4 Pb 2.62, 4 Ta 2.62
Co3 0.3115 0.5000 0.6246  4 Pb 2.61-2.62, 3 Ta 2.61-2.62, 1 Nb 2.63
Co4 0.4370 0.0000 0.3755  1 Ta 2.61, 4 Pb 2.62-2.63, 3 Nb 2.62
Co5 0.5623 0.5000 0.1243  2 Ta 2.61, 4 Pb 2.61-2.62, 2 Nb 2.62
Co6 0.6880 0.0000 0.8759  2 Ta 2.61, 4 Pb 2.61-2.62, 2 Nb 2.62
Co7 0.8137 0.5000 0.6255  1 Ta 2.61, 4 Pb 2.61-2.62, 3 Nb 2.62
Co8 0.9386 0.0000 0.3754  1 Ta 2.61, 4 Pb 2.61-2.63, 3 Nb 2.62
Pb1 0.9998 0.5000 0.4999  4 Co 2.61
Pb2 0.1251 0.0000 0.2498  4 Co 2.62
Pb3 0.2501 0.5000 0.0000  4 Co 2.61-2.62
Pb4 0.3754 0.0000 0.7500  4 Co 2.62
Pb5 0.5005 0.5000 0.5002  4 Co 2.62
Pb6 0.6252 0.0000 0.2501  4 Co 2.62-2.63
Pb7 0.7502 0.5000 0.0000  4 Co 2.61
Pb8 0.8749 0.0000 0.7501  4 Co 2.62

=====

Computed, not measured: crystalline LiHfIr2 at its relaxed geometry at the PBE level of DFT.

Properties
energy relative to the lowest polymorph listed for this composition: 383.6 meV/atom

a = 6.2858 Å, b = 6.2858 Å, c = 6.2858 Å
α = 90.00°, β = 90.00°, γ = 90.00°
Closest atoms and distances in Å follow each position.
Positions (direct):
Li1 0.0000 0.0000 0.0000  4 Hf 2.72, 4 Ir 2.72
Li2 0.0000 0.5000 0.5000  4 Hf 2.72, 4 Ir 2.72
Li3 0.5000 0.0000 0.5000  4 Hf 2.72, 4 Ir 2.72
Li4 0.5000 0.5000 0.0000  4 Hf 2.72, 4 Ir 2.72
Hf1 0.2500 0.2500 0.2500  4 Li 2.72, 4 Ir 2.72
Hf2 0.2500 0.7500 0.7500  4 Li 2.72, 4 Ir 2.72
Hf3 0.7500 0.2500 0.7500  4 Li 2.72, 4 Ir 2.72
Hf4 0.7500 0.7500 0.2500  4 Li 2.72, 4 Ir 2.72
Ir1 0.0000 0.0000 0.5000  4 Hf 2.72, 4 Ir 2.72
Ir2 0.0000 0.5000 0.0000  4 Hf 2.72, 4 Ir 2.72
Ir3 0.2500 0.2500 0.7500  4 Li 2.72, 4 Ir 2.72
Ir4 0.2500 0.7500 0.2500  4 Li 2.72, 4 Ir 2.72
Ir5 0.5000 0.0000 0.0000  4 Hf 2.72, 4 Ir 2.72
Ir6 0.5000 0.5000 0.5000  4 Hf 2.72, 4 Ir 2.72
Ir7 0.7500 0.2500 0.2500  4 Li 2.72, 4 Ir 2.72
Ir8 0.7500 0.7500 0.7500  4 Li 2.72, 4 Ir 2.72

=====

Going through the records in order, we get volume values of 18.4; 15.5 Å³ per atom.